Material: MgW
Method: DFT, GGA-PBE
State: relaxed

Calculated values
M_tot: 0.00 Bohr magnetons per cell
V: 34.23 Å³ per cell
relative energy among the computed polymorphs: 0.1774 eV per atom
formation energy: 0.88 eV per formula unit
SG: No. 65

Cell lengths 2.7264, 2.7264, 4.7230 Å; angles 90.00, 90.00, 102.86 degrees
Last column: nearest neighbours and their distance in Å.
Atoms (fractional coordinates):
W 0.0000 0.0000 0.0000  4 W 2.73, 4 Mg 2.91
Mg 0.5000 0.5000 0.5000  4 Mg 2.73, 4 W 2.91



Material: Mg2W
Method: DFT, GGA-PBE
State: relaxed

Calculated values
M_tot: 0.00 Bohr magnetons per cell
V: 147.84 Å³ per cell
relative energy among the computed polymorphs: 0.5800 eV per atom
formation energy: 2.77 eV per formula unit
SG: No. 58

Cell lengths 2.6118, 7.5045, 7.5427 Å; angles 90.00, 90.00, 90.00 degrees
Last column: nearest neighbours and their distance in Å.
Atoms (fractional coordinates):
Mg 0.0000 0.7462 0.7361  2 Mg 2.61, 3 W 2.76-2.88
Mg 0.5000 0.7538 0.2361  2 Mg 2.61, 3 W 2.76-2.88
Mg 0.0000 0.2538 0.2639  2 Mg 2.61, 3 W 2.76-2.88
Mg 0.5000 0.2462 0.7639  2 Mg 2.61, 3 W 2.76-2.88
W 0.5000 0.5000 0.5000  2 W 2.61, 6 Mg 2.76-2.88
W 0.0000 0.0000 0.0000  2 W 2.61, 6 Mg 2.76-2.88



Material: Mg2W
Method: DFT, GGA-PBE
State: relaxed

Calculated values
M_tot: 0.00 Bohr magnetons per cell
V: 128.70 Å³ per cell
relative energy among the computed polymorphs: 0.2243 eV per atom
formation energy: 1.70 eV per formula unit
SG: No. 140

Cell lengths 5.6617, 5.6617, 5.6617 Å; angles 101.13, 101.13, 127.86 degrees
Last column: nearest neighbours and their distance in Å.
Atoms (fractional coordinates):
Mg 0.6714 0.1714 0.8429  4 W 2.94, 2 Mg 2.96
Mg 0.8286 0.6714 0.5000  4 W 2.94, 2 Mg 2.96
Mg 0.1714 0.3286 0.5000  4 W 2.94, 2 Mg 2.96
Mg 0.3286 0.8286 0.1571  4 W 2.94, 2 Mg 2.96
W 0.2500 0.2500 0.0000  2 W 2.49
W 0.7500 0.7500 0.0000  2 W 2.49



relative energy among the computed polymorphs of number 1 (MgW)? 0.1774 eV per atom